Entry 1:
Entry from Alexandria: crystalline ThHgBr6 at its relaxed geometry (PBE-GGA).

symmetry	P-1, No. 2
polymorph energy (0 for the lowest one)	12	meV per atom
formation energy (no corrections)	-1.18	eV per atom

Lattice parameters (Å, degrees): 7.114 7.108 7.719 62.54 62.51 59.95
Positions (direct):
Th  0.500  0.500  0.500
Hg  0.000  0.000  0.000
Br  0.089  0.412  0.750
Br  0.748  0.089  0.750
Br  0.588  0.251  0.250
Br  0.252  0.911  0.250
Br  0.911  0.588  0.250
Br  0.412  0.749  0.750

***

Entry 2:
Entry from Alexandria: crystalline Sc4AlCo2 at its relaxed geometry (PBE-GGA).

symmetry	R-3m, No. 166
formation energy	-165.0	meV/atom
polymorph energy (0 for the lowest one)	93	meV per atom

Lattice parameters (Å, degrees): 4.380 4.380 8.718 75.45 75.45 60.00
Positions (direct):
Sc  0.392  0.392  0.825
Sc  0.202  0.202  0.393
Sc  0.798  0.798  0.607
Sc  0.608  0.608  0.175
Al  0.000  0.000  0.000
Co  0.094  0.094  0.719
Co  0.906  0.906  0.281

***

Entry 3:
Entry from Alexandria: crystalline La3GeSbCl at its relaxed geometry (PBE-GGA).

symmetry	P2_1/m, No. 11
formation energy (no corrections)	-1.15	eV per atom

Lattice parameters (Å, degrees): 4.510 9.119 9.692 102.10 90.00 90.00
Positions (direct):
La  0.250  0.749  0.489
La  0.750  0.888  0.131
La  0.750  0.424  0.159
La  0.750  0.251  0.511
La  0.250  0.576  0.841
La  0.250  0.112  0.869
Ge  0.250  0.661  0.164
Ge  0.750  0.339  0.836
Sb  0.750  0.825  0.778
Sb  0.250  0.175  0.222
Cl  0.250  0.091  0.579
Cl  0.750  0.909  0.421

***

Entry 4:
Entry from Alexandria: crystalline AsIrRu at its relaxed geometry (PBE-GGA).

symmetry	Imm2, No. 44
formation energy	313.6	meV/atom
polymorph energy (0 for the lowest one)	278	meV per atom

Lattice parameters (Å, degrees): 4.585 4.585 4.585 143.26 127.21 66.04
Positions (direct):
Ru  0.681  0.681  0.000
As  0.999  0.999  0.000
Ir  0.320  0.320  0.000

***

Entry 5:
Entry from Alexandria: crystalline ScVSb2 at its relaxed geometry (PBE-GGA).

symmetry	I-42d, No. 122
polymorph energy (0 for the lowest one)	475	meV per atom
formation energy (no corrections)	0.12	eV per atom

Lattice parameters (Å, degrees): 6.252 6.252 7.991 66.97 66.97 90.00
Last column: magnetic moment on the atom in μB.
Positions (direct):
Sc  0.500  0.500  0.000  -0.01
Sc  0.250  0.750  0.500  -0.01
Sb  0.654  0.125  0.250  -0.10
Sb  0.096  0.625  0.250  -0.10
Sb  0.375  0.346  0.750  -0.10
Sb  0.875  0.904  0.750  -0.10
V  0.000  0.000  0.000  2.05
V  0.750  0.250  0.500  2.05

***

Entry 6:
Entry from Alexandria: crystalline CdPtSe2 at its relaxed geometry (PBE-GGA).

symmetry	Cmmm, No. 65
formation energy (no corrections)	0.03	eV per atom

Lattice parameters (Å, degrees): 4.171 4.171 7.615 90.00 90.00 127.69
Positions (direct):
Cd  0.500  0.500  0.250
Pt  0.500  0.500  0.750
Se  0.000  0.000  0.964
Se  0.000  0.000  0.536

***

Entry 7:
Entry from Alexandria: crystalline Cs2TmTiO4 at its relaxed geometry (PBE-GGA).

symmetry	Fddd, No. 70
formation energy (no corrections)	-2.31	eV per atom

Lattice parameters (Å, degrees): 5.862 7.387 12.309 84.58 76.22 66.62
Positions (direct):
Cs  0.178  0.000  0.644
Cs  0.822  0.000  0.356
Cs  0.572  0.500  0.856
Cs  0.928  0.500  0.144
Tm  0.750  0.500  0.500
Tm  0.000  0.000  0.000
Ti  0.250  0.500  0.500
Ti  0.500  0.000  0.000
O  0.323  0.849  0.075
O  0.247  0.151  0.925
O  0.828  0.849  0.925
O  0.602  0.151  0.075
O  0.427  0.651  0.425
O  0.503  0.349  0.575
O  0.922  0.651  0.575
O  0.148  0.349  0.425

***

Entry 8:
Entry from Alexandria: crystalline Y2ErNi2 at its relaxed geometry (PBE-GGA).

symmetry	C2/c, No. 15
formation energy	-331.8	meV/atom
polymorph energy (0 for the lowest one)	0	meV per atom

Lattice parameters (Å, degrees): 5.823 6.284 7.162 99.88 90.00 117.60
Positions (direct):
Y  0.548  0.314  0.153
Y  0.234  0.686  0.347
Y  0.452  0.686  0.847
Y  0.766  0.314  0.653
Er  0.910  0.000  0.250
Er  0.090  0.000  0.750
Ni  0.699  0.681  0.491
Ni  0.019  0.319  0.009
Ni  0.301  0.319  0.509
Ni  0.981  0.681  0.991

***

Entry 9:
Entry from Alexandria: crystalline AcPuN3 at its relaxed geometry (PBE-GGA).

symmetry	C2/m, No. 12
formation energy (no corrections)	-1.12	eV per atom

Lattice parameters (Å, degrees): 6.085 6.085 10.360 73.76 73.76 59.02
Last column: magnetic moment on the atom in μB.
Positions (direct):
Ac  0.880  0.380  0.872  0.00
Ac  0.620  0.120  0.628  0.00
Ac  0.120  0.620  0.128  0.00
Ac  0.380  0.880  0.372  0.00
Pu  0.000  0.500  0.500  2.42
Pu  0.500  0.000  0.000  2.42
Pu  0.750  0.250  0.250  2.61
Pu  0.250  0.750  0.750  2.61
N  0.840  0.858  0.861  -0.15
N  0.142  0.160  0.639  -0.15
N  0.160  0.142  0.139  -0.15
N  0.858  0.840  0.361  -0.15
N  0.660  0.642  0.639  -0.15
N  0.358  0.340  0.861  -0.15
N  0.340  0.358  0.361  -0.15
N  0.642  0.660  0.139  -0.15
N  0.329  0.829  0.901  -0.14
N  0.171  0.671  0.599  -0.14
N  0.829  0.329  0.401  -0.14
N  0.671  0.171  0.099  -0.14

***

Entry 10:
Entry from Alexandria: crystalline ZnMoAu2 at its relaxed geometry (PBE-GGA).

symmetry	Imm2, No. 44
formation energy	199.5	meV/atom

Lattice parameters (Å, degrees): 5.670 5.670 5.670 151.72 128.16 60.10
Last column: magnetic moment on the atom in μB.
Positions (direct):
Au  0.011  0.011  0.000  0.03
Au  0.746  0.246  0.500  0.02
Mo  0.492  0.492  0.000  0.64
Zn  0.251  0.751  0.500  -0.01

***

Entry 11:
Entry from Alexandria: crystalline La2BeAgO at its relaxed geometry (PBE-GGA).

symmetry	P4/mmm, No. 123
formation energy (no corrections)	-0.72	eV per atom

Lattice parameters (Å, degrees): 4.871 4.711 4.871 90.00 90.00 90.00
Positions (direct):
Be  0.500  0.500  0.500
O  0.000  0.000  0.000
Ag  0.000  0.500  0.000
La  0.000  0.000  0.500
La  0.500  0.000  0.000

***

Entry 12:
Entry from Alexandria: crystalline CdCoCu2 at its relaxed geometry (PBE-GGA).

symmetry	P4/mmm, No. 123
formation energy	224.1	meV/atom

Lattice parameters (Å, degrees): 3.805 3.806 3.804 90.00 90.00 90.00
Last column: magnetic moment on the atom in μB.
Positions (direct):
Cd  0.500  0.000  0.500  -0.03
Co  0.000  0.500  0.500  1.16
Cu  0.000  0.000  0.000  -0.03
Cu  0.500  0.500  0.000  -0.03

***

What are the E values for these records? In order: -3.397; -6.348; -5.377; -7.282; -5.804; -3.451; -6.550; -6.143; -9.800; -4.465; -4.994; -3.829 eV per atom.